(i)
Dy2ScRu: relaxed, GGA-PBE.

a = 7.108 Å, b = 8.997 Å, c = 6.211 Å
α = 90.00°, β = 90.00°, γ = 90.00°
Space group Pnma (No. 62)
One atom of each set of equivalent atoms:
Dy  0.179  0.062  0.173
Sc  0.043  0.250  0.633
Ru  0.117  0.750  0.984

Computed properties:
- ρ: 7.9 g cm⁻³
- Total magnetization: 0.00 Bohr magnetons per cell
- Crystal system: orthorhombic
- D(E_F): 9.85 states/eV/cell



(ii)
Dy2ScRu: relaxed, GGA-PBE.

a = 3.422 Å, b = 3.422 Å, c = 8.369 Å
α = 90.00°, β = 90.00°, γ = 90.00°
Space group P4/mmm (No. 123)
One atom of each set of equivalent atoms:
Dy  0.000  0.000  0.198
Sc  0.500  0.500  0.500
Ru  0.500  0.500  0.000

Computed properties:
- ρ: 8.0 g cm⁻³
- Total magnetization: 1.09 Bohr magnetons per cell
- Crystal system: tetragonal
- D(E_F): 3.97 states/eV/cell



(iii)
Dy2ScRu: relaxed, GGA-PBE.

a = 3.3853 Å, b = 3.3853 Å, c = 31.0722 Å
α = 90.00°, β = 90.00°, γ = 120.00°
Space group R-3m (No. 166, hexagonal axes)
One atom of each set of equivalent atoms:
Dy  0.0000  0.0000  0.1028
Sc  0.0000  0.0000  0.0000
Ru  0.0000  0.0000  0.5000

Computed properties:
- ρ: 7.6 g cm⁻³
- Total magnetization: 0.02 Bohr magnetons per cell
- Crystal system: trigonal
- D(E_F): 18.72 states/eV/cell



Which of them is the most stable? Correct choice: (i).



(i)
DyScRu: relaxed, GGA-PBE.

a = 6.555 Å, b = 6.555 Å, c = 6.555 Å
α = 90.00°, β = 90.00°, γ = 90.00°
Space group F-43m (No. 216)
One atom of each set of equivalent atoms:
Dy  0.000  0.000  0.000
Sc  0.000  0.000  0.500
Ru  0.250  0.250  0.750

Computed properties:
- ρ: 7.3 g cm⁻³
- Total magnetization: 0.00 Bohr magnetons per cell
- Crystal system: cubic
- D(E_F): 4.65 states/eV/cell



(ii)
DyScRu: relaxed, GGA-PBE.

a = 7.3269 Å, b = 7.3269 Å, c = 4.1634 Å
α = 90.00°, β = 90.00°, γ = 120.00°
Space group P-62m (No. 189)
One atom of each set of equivalent atoms:
Dy  0.0000  0.5855  0.0000
Sc  0.0000  0.2511  0.5000
Ru  0.0000  0.0000  0.0000
Ru  0.3333  0.6667  0.5000

Computed properties:
- ρ: 7.9 g cm⁻³
- Total magnetization: 0.00 Bohr magnetons per cell
- Crystal system: hexagonal
- D(E_F): 3.50 states/eV/cell



Which of them is the most stable? Correct choice: (ii).



(i)
DyScTlRu: relaxed, GGA-PBE.

a = 6.999 Å, b = 6.999 Å, c = 6.999 Å
α = 90.00°, β = 90.00°, γ = 90.00°
Space group F-43m (No. 216)
One atom of each set of equivalent atoms:
Dy  0.000  0.000  0.000
Sc  0.000  0.000  0.500
Tl  0.250  0.250  0.750
Ru  0.250  0.250  0.250

Computed properties:
- ρ: 9.9 g cm⁻³
- Total magnetization: 0.00 Bohr magnetons per cell
- Crystal system: cubic
- D(E_F): 11.33 states/eV/cell



(ii)
DyScTlRu: relaxed, GGA-PBE.

a = 3.311 Å, b = 3.311 Å, c = 8.039 Å
α = 90.00°, β = 90.00°, γ = 90.00°
Space group P4mm (No. 99)
One atom of each set of equivalent atoms:
Dy  0.000  0.000  0.000
Sc  0.000  0.000  0.597
Tl  0.500  0.500  0.316
Ru  0.500  0.500  0.779

Computed properties:
- ρ: 9.7 g cm⁻³
- Total magnetization: 0.00 Bohr magnetons per cell
- Crystal system: tetragonal
- D(E_F): 1.95 states/eV/cell



Which of them is the most stable? Correct choice: (ii).



(i)
Dy3RuSe: relaxed, GGA-PBE.

a = 14.936 Å, b = 4.005 Å, c = 9.989 Å
α = 90.00°, β = 117.69°, γ = 90.00°
Space group C2/m (No. 12)
One atom of each set of equivalent atoms:
Dy  0.076  0.000  0.303
Dy  0.143  0.500  0.057
Dy  0.160  0.500  0.639
Ru  0.213  0.500  0.382
Se  0.143  0.000  0.851

Computed properties:
- ρ: 8.4 g cm⁻³
- Total magnetization: 0.00 Bohr magnetons per cell
- Crystal system: monoclinic
- D(E_F): 14.04 states/eV/cell



(ii)
Dy3RuSe: relaxed, GGA-PBE.

a = 8.304 Å, b = 3.843 Å, c = 8.363 Å
α = 90.00°, β = 96.17°, γ = 90.00°
Space group P2_1/m (No. 11)
One atom of each set of equivalent atoms:
Dy  0.015  0.250  0.170
Dy  0.327  0.750  0.638
Dy  0.369  0.750  0.100
Ru  0.238  0.250  0.878
Se  0.325  0.250  0.373

Computed properties:
- ρ: 8.4 g cm⁻³
- Total magnetization: 0.00 Bohr magnetons per cell
- Crystal system: monoclinic
- D(E_F): 7.50 states/eV/cell



Which of them is the most stable? Correct choice: (ii).



(i)
DySi2Ru2: relaxed, GGA-PBE.

a = 4.179 Å, b = 4.179 Å, c = 9.560 Å
α = 90.00°, β = 90.00°, γ = 90.00°
Space group I4/mmm (No. 139)
One atom of each set of equivalent atoms:
Dy  0.000  0.000  0.000
Si  0.000  0.000  0.369
Ru  0.000  0.500  0.250

Computed properties:
- ρ: 8.4 g cm⁻³
- Total magnetization: 0.00 Bohr magnetons per cell
- Crystal system: tetragonal
- D(E_F): 4.70 states/eV/cell



(ii)
DySi2Ru2: relaxed, GGA-PBE.

a = 4.110 Å, b = 4.110 Å, c = 4.943 Å
α = 90.00°, β = 90.00°, γ = 90.00°
Space group P4/mmm (No. 123)
One atom of each set of equivalent atoms:
Dy  0.000  0.000  0.000
Si  0.500  0.500  0.241
Ru  0.000  0.500  0.500

Computed properties:
- ρ: 8.4 g cm⁻³
- Total magnetization: 0.00 Bohr magnetons per cell
- Crystal system: tetragonal
- D(E_F): 3.43 states/eV/cell



Which of them is the most stable? Correct choice: (i).



(i)
SmDyRu: relaxed, GGA-PBE.

a = 6.819 Å, b = 6.819 Å, c = 6.819 Å
α = 90.00°, β = 90.00°, γ = 90.00°
Space group F-43m (No. 216)
One atom of each set of equivalent atoms:
Sm  0.000  0.000  0.000
Dy  0.000  0.000  0.500
Ru  0.250  0.250  0.750

Computed properties:
- ρ: 8.7 g cm⁻³
- Total magnetization: 0.00 Bohr magnetons per cell
- Crystal system: cubic
- D(E_F): 8.18 states/eV/cell



(ii)
SmDyRu: relaxed, GGA-PBE.

a = 7.568 Å, b = 4.410 Å, c = 13.283 Å
α = 90.00°, β = 90.83°, γ = 90.00°
Space group P2_1/m (No. 11)
One atom of each set of equivalent atoms:
Sm  0.023  0.250  0.213
Sm  0.361  0.750  0.581
Sm  0.472  0.750  0.882
Dy  0.018  0.250  0.592
Dy  0.150  0.250  0.957
Dy  0.367  0.750  0.291
Ru  0.237  0.250  0.413
Ru  0.240  0.750  0.082
Ru  0.270  0.250  0.751

Computed properties:
- ρ: 9.3 g cm⁻³
- Total magnetization: 0.00 Bohr magnetons per cell
- Crystal system: monoclinic
- D(E_F): 8.11 states/eV/cell



Which of them is the most stable? Correct choice: (ii).